# 1
A plane-wave DFT calculation with PBE-GGA was carried out for a relaxed Cr3GaH3 crystal.

Structure (POSCAR):
```
Cr3GaH3
1.0
4.8802 0.0000 0.0000
0.0000 4.8802 0.0000
0.0000 0.0000 4.8802
Cr Ga H
6 2 6
Cartesian
0.0000 1.2200 2.4401 Cr
0.0000 3.6601 2.4401 Cr
2.4401 0.0000 3.6601 Cr
3.6601 2.4401 0.0000 Cr
2.4401 0.0000 1.2200 Cr
1.2200 2.4401 0.0000 Cr
2.4401 2.4401 2.4401 Ga
0.0000 0.0000 0.0000 Ga
1.2200 0.0000 2.4401 H
0.0000 2.4401 1.2200 H
2.4401 3.6601 0.0000 H
3.6601 0.0000 2.4401 H
0.0000 2.4401 3.6601 H
2.4401 1.2200 0.0000 H
```

Summary:
For the final energy, the calculation gives -5.900 eV per atom. Its space group is Pm-3n (223). Its total magnetization is 0.210 μB per atom. As for the crystal system: cubic.



# 2
A plane-wave DFT calculation with PBE-GGA was carried out for a relaxed NaErMnCl6 crystal.

Structure (POSCAR):
```
NaErMnCl6
1.0
-2.0683 4.6081 -4.0398
-4.1627 -4.3715 2.3223
-2.4021 7.4629 9.7426
Na Er Mn Cl
2 2 2 12
Cartesian
0.0000 0.0000 0.0000 Na
-1.2010 3.7315 4.8713 Na
-4.0651 0.4874 2.6373 Er
-4.5680 7.2121 5.3879 Er
-3.3670 3.4806 0.5166 Mn
-5.2661 4.2188 7.5086 Mn
-4.3197 1.2873 0.1484 Cl
-3.7730 4.0166 -1.8075 Cl
-6.2980 2.0718 7.0855 Cl
-4.8601 3.6828 9.8327 Cl
-3.0600 2.9051 2.8465 Cl
-5.5199 4.4383 1.0655 Cl
-7.4391 5.0910 8.1182 Cl
-2.3351 5.6277 0.9397 Cl
-3.1132 3.2611 6.9596 Cl
-1.1941 2.6085 -0.0930 Cl
-5.5731 4.7943 5.1787 Cl
-4.3134 6.4121 7.8768 Cl
```

Summary:
For the final energy, the calculation gives -4.445 eV per atom. The calculation puts the uncorrected formation energy at -1.541 eV/atom. Its space group is P-31c (163). Its total magnetization is 0.111 μB per atom. As for the crystal system: trigonal.



# 3
A plane-wave DFT calculation with PBE-GGA was carried out for a relaxed SmGeSe2 crystal.

Structure (POSCAR):
```
SmGeSe2
1.0
4.1280 0.0000 0.0000
2.0640 3.5750 0.0000
2.0640 1.1917 8.6767
Ge Se Sm
1 2 1
Cartesian
0.0000 0.0000 0.0000 Ge
2.0640 1.1917 5.9998 Se
6.1920 3.5750 2.6769 Se
4.1280 2.3833 4.3384 Sm
```

Summary:
For the final energy, the calculation gives -4.924 eV per atom. The calculation puts the uncorrected formation energy at -0.847 eV/atom. Its space group is R-3m (166). Its total magnetization is 0.000 μB per atom. As for the crystal system: trigonal.



# 4
A plane-wave DFT calculation with PBE-GGA was carried out for a relaxed Cd5Sn3Br12 crystal.

Structure (POSCAR):
```
Cd5Sn3Br12
1.0
15.3288 0.0000 0.0000
-5.1096 14.4521 0.0000
-5.1096 -7.2261 12.5159
Sn Cd Br
12 20 48
Cartesian
8.9418 4.5163 1.5645 Sn
8.9418 9.9358 1.5645 Sn
-1.2774 6.3228 7.8224 Sn
1.2774 -0.9033 4.6935 Sn
11.4966 0.0000 3.1290 Sn
1.2774 7.2261 3.1290 Sn
3.8322 0.0000 9.3869 Sn
-6.3870 7.2261 9.3869 Sn
3.8322 8.1293 7.8224 Sn
6.3870 0.9033 4.6935 Sn
-3.8322 -2.7098 10.9514 Sn
-3.8322 2.7098 10.9514 Sn
-1.2774 3.6130 3.1290 Cd
-2.5548 7.2261 0.0000 Cd
0.0000 0.0000 0.0000 Cd
3.8322 2.7098 1.5645 Cd
5.1096 -3.6130 6.2580 Cd
5.1096 7.2261 0.0000 Cd
-3.8322 8.1293 4.6935 Cd
6.3870 -4.5163 10.9514 Cd
6.3870 6.3228 4.6935 Cd
1.2774 -3.6130 9.3869 Cd
3.8322 10.8391 3.1290 Cd
2.5548 3.6130 6.2580 Cd
7.6644 0.0000 0.0000 Cd
-2.5548 -3.6130 6.2580 Cd
-1.2774 0.9033 7.8224 Cd
-1.2774 11.7424 1.5645 Cd
-5.1096 3.6130 6.2580 Cd
8.9418 -0.9033 7.8224 Cd
1.2774 4.5163 10.9514 Cd
6.3870 3.6130 9.3869 Cd
10.2263 1.5832 0.5428 Br
-0.0071 4.8747 5.1583 Br
11.3763 3.3447 3.4377 Br
6.5073 2.3083 1.6425 Br
1.9162 5.5547 8.5354 Br
10.7305 7.1810 2.2774 Br
-1.1571 8.2625 5.0802 Br
-3.9525 12.1439 1.6425 Br
0.6386 8.8974 8.5354 Br
7.1531 7.2712 2.2774 Br
7.6573 3.9345 4.6155 Br
7.6573 12.8690 0.5428 Br
-4.4709 6.5562 6.8008 Br
3.0661 5.2763 1.1778 Br
-5.1025 10.5176 4.6155 Br
2.5477 -2.3513 7.3576 Br
-0.6386 1.0015 2.8202 Br
3.0661 9.2209 1.0996 Br
6.5073 11.1074 3.4377 Br
-0.5113 5.2312 1.0996 Br
-3.1935 8.2275 9.6957 Br
3.7119 6.1896 5.0802 Br
7.0258 7.8960 6.8008 Br
5.6209 -1.9498 11.3381 Br
1.3977 1.0365 7.4357 Br
-1.9162 -0.6699 5.7151 Br
-0.5113 9.1758 1.1778 Br
-1.3977 -3.8813 9.0782 Br
8.3031 -1.0015 2.8202 Br
5.6209 1.9949 11.4163 Br
2.0435 -1.9949 11.4163 Br
2.5619 9.5774 5.1583 Br
5.7482 6.2246 9.6957 Br
10.2121 -3.2916 7.9004 Br
9.5805 0.6699 5.7151 Br
-2.5477 -5.6429 11.9731 Br
2.0435 1.9498 11.3381 Br
4.4710 -1.6713 3.9805 Br
-2.0435 -0.0451 10.2385 Br
-2.5477 3.2916 7.9004 Br
9.0621 -4.9178 10.8734 Br
6.2667 -1.0365 7.4357 Br
-1.3977 4.9178 10.8734 Br
-5.6209 0.0451 10.2385 Br
3.1934 1.6714 3.9805 Br
-6.2667 3.8813 9.0782 Br
5.1167 2.3513 7.3576 Br
-5.1167 5.6429 11.9731 Br
```

Summary:
For the final energy, the calculation gives -2.323 eV per atom. The calculation puts the uncorrected formation energy at -0.490 eV/atom. Its space group is Ia-3d (230). Its total magnetization is 0.000 μB per atom. As for the crystal system: cubic.



# 5
A plane-wave DFT calculation with PBE-GGA was carried out for a relaxed AcCeEr2S4 crystal.

Structure (POSCAR):
```
AcCeEr2S4
1.0
3.9509 0.0000 0.0000
0.0000 7.1375 -0.2434
0.0000 2.4132 6.4385
Ac Ce Er S
1 1 2 4
Cartesian
1.9755 3.5688 -0.1217 Ac
0.0000 4.7753 3.0975 Ce
0.0000 2.4132 6.4384 Er
1.9755 1.2066 3.2192 Er
0.0001 7.3313 4.5363 S
3.9509 2.2194 1.6587 S
1.9755 6.1182 1.4122 S
1.9755 3.4325 4.7828 S
```

Summary:
For the final energy, the calculation gives -6.435 eV per atom. The calculation puts the uncorrected formation energy at -1.976 eV/atom. Its space group is P2/m (10). Its total magnetization is 0.120 μB per atom. As for the crystal system: monoclinic.



# 6
A plane-wave DFT calculation with PBE-GGA was carried out for a relaxed Nd2MgZn12Ni3 crystal.

Structure (POSCAR):
```
Nd2MgZn12Ni3
1.0
-5.7165 4.0913 -4.3201
-7.1764 -3.6182 -1.8676
-6.9761 2.4797 3.6423
Nd Mg Zn Ni
2 1 12 3
Cartesian
-11.7801 1.7507 -1.5091 Nd
-8.0889 1.2021 -1.0362 Nd
0.0000 0.0000 0.0000 Mg
-10.1672 2.2860 1.1338 Zn
-14.2040 1.6082 -3.3998 Zn
-14.6428 1.0467 -0.6260 Zn
-9.4907 3.1516 -3.1428 Zn
-14.1342 3.7325 -1.4803 Zn
-10.2749 -0.9892 -1.8256 Zn
-9.7018 0.6668 -3.6791 Zn
-5.6650 1.3446 0.8545 Zn
-5.2262 1.9060 -1.9194 Zn
-10.3783 -0.1988 0.5975 Zn
-5.7348 -0.7798 -1.0650 Zn
-9.5942 3.9420 -0.7198 Zn
-2.8583 2.0457 -2.1600 Ni
-3.5882 -1.8091 -0.9338 Ni
-3.4880 1.2398 1.8212 Ni
```

Summary:
For the final energy, the calculation gives -2.243 eV per atom. The formation energy from the elements is 0.188 eV per atom. Its space group is R-3m (166). Its total magnetization is 0.000 μB per atom. As for the crystal system: trigonal.



# 7
A plane-wave DFT calculation with PBE-GGA was carried out for a relaxed KCoAu2 crystal.

Structure (POSCAR):
```
KCoAu2
1.0
-2.9999 3.2192 -0.4937
-4.2700 0.9524 0.6829
1.0046 2.9365 6.7421
Au Co K
2 1 1
Cartesian
0.8178 2.7733 6.2261 Au
-2.9458 3.7172 3.9817 Au
-4.6990 5.3311 5.1985 Co
-1.5663 1.7770 1.7328 K
```

Summary:
The calculation puts the energy above the most stable polymorph in this dataset at 0.067 eV per atom. For the final energy, the calculation gives -3.431 eV per atom. The formation energy from the elements is 0.259 eV per atom. Its space group is C2/m (12). Its total magnetization is 0.477 μB per atom. As for the crystal system: monoclinic.



# 8
A plane-wave DFT calculation with PBE-GGA was carried out for a relaxed Cs2SnRhF6 crystal.

Structure (POSCAR):
```
Cs2SnRhF6
1.0
6.3584 0.0000 0.0000
0.0000 6.3584 0.0000
3.1792 3.1792 4.8179
Cs Rh Sn F
2 1 1 6
Cartesian
6.3584 3.1792 2.4089 Cs
3.1792 6.3584 2.4089 Cs
3.1792 3.1792 0.0000 Rh
0.0000 0.0000 0.0000 Sn
3.1792 3.1792 2.4993 F
6.3584 6.3584 2.3186 F
1.6921 1.6921 0.0000 F
4.6663 4.6663 0.0000 F
4.6663 1.6921 0.0000 F
1.6921 4.6663 0.0000 F
```

Summary:
For the final energy, the calculation gives -4.567 eV per atom. The calculation puts the uncorrected formation energy at -2.138 eV/atom. Its space group is I4/mmm (139). Its total magnetization is 0.100 μB per atom. As for the crystal system: tetragonal.